[1]
Entry from Alexandria: a geometry-optimized Nb2CdHgW structure (PBE-GGA).

Calculated values
- E_tot: -4.7167 eV per atom
- Energy relative to the elements: 2.15 eV/atom
- Volume: 127 Å³/cell
- Fermi-level density of states: 1.00 states/eV/atom
- SG: P4/mmm, No. 123

extended XYZ file:
```
5
Lattice="5.0491 0.0000 0.0000 0.0000 5.0491 0.0000 0.0000 0.0000 4.9740" Properties=species:S:1:pos:R:3 pbc="T T T"
Nb 0.0000 2.5245 0.0000
Nb 2.5245 0.0000 0.0000
Cd 0.0000 0.0000 2.4870
Hg 2.5245 2.5245 0.0000
W 2.5245 2.5245 2.4870
```

[2]
Entry from Alexandria: a geometry-optimized NbCdHg2W structure (PBE-GGA).

Calculated values
- E_tot: -3.5500 eV per atom
- Energy relative to the elements: 1.36 eV/atom
- Volume: 144 Å³/cell
- Fermi-level density of states: 0.89 states/eV/atom
- SG: P4/mmm, No. 123

extended XYZ file:
```
5
Lattice="5.4725 0.0000 0.0000 0.0000 5.4725 0.0000 0.0000 0.0000 4.7942" Properties=species:S:1:pos:R:3 pbc="T T T"
Nb 0.0000 0.0000 0.0000
Cd 2.7362 2.7362 2.3971
Hg 0.0000 2.7362 0.0000
Hg 2.7362 0.0000 0.0000
W 0.0000 0.0000 2.3971
```

[3]
Entry from Alexandria: a geometry-optimized NdCd2Hg6 structure (PBE-GGA).

Calculated values
- E_tot: -1.0480 eV per atom
- Energy relative to the elements: -0.11 eV/atom
- Volume: 477 Å³/cell
- Relative energy among the computed polymorphs: 41 meV/atom
- Fermi-level density of states: 0.47 states/eV/atom
- SG: Immm, No. 71

extended XYZ file:
```
18
Lattice="-4.7475 4.8699 5.1607 4.7475 -4.8699 5.1607 4.7475 4.8699 -5.1607" Properties=species:S:1:pos:R:3 pbc="T T T"
Nd 0.0000 0.0000 0.0000
Nd 0.0000 0.0000 5.1607
Cd 4.7475 0.0000 1.4264
Cd 0.0000 3.4479 0.0000
Cd 0.0000 6.2919 0.0000
Cd 0.0000 4.8699 3.7343
Hg 4.7475 2.8670 -2.5415
Hg 2.6893 2.0254 0.0000
Hg 6.8057 2.0254 0.0000
Hg 2.3137 4.8699 -2.0328
Hg 2.4338 0.0000 3.1280
Hg 0.0000 2.0029 2.6192
Hg 4.7475 2.8670 2.5415
Hg 2.3137 4.8699 2.0328
Hg 2.4338 0.0000 7.1935
Hg -2.0582 2.8445 5.1607
Hg 2.0582 2.8445 5.1607
Hg 0.0000 2.0029 7.7023
```

[4]
Entry from Alexandria: a geometry-optimized Nd8CdHg2 structure (PBE-GGA).

Calculated values
- E_tot: -3.7931 eV per atom
- Energy relative to the elements: -0.19 eV/atom
- Volume: 352 Å³/cell
- Relative energy among the computed polymorphs: 27 meV/atom
- Fermi-level density of states: 1.09 states/eV/atom
- SG: C2/m, No. 12

extended XYZ file:
```
11
Lattice="9.2891 -2.6425 0.0000 9.2891 2.6425 0.0000 -2.3055 0.0000 7.1620" Properties=species:S:1:pos:R:3 pbc="T T T"
Nd -0.1062 0.0000 1.8627
Nd 1.7213 0.0000 5.7181
Nd 4.9240 0.0000 3.8672
Nd 7.5458 0.0000 0.2849
Nd 8.7269 0.0000 6.8771
Nd 11.3487 0.0000 3.2948
Nd 14.5514 0.0000 1.4439
Nd 16.3789 0.0000 5.2994
Cd 8.1363 0.0000 3.5810
Hg 3.0093 0.0000 1.4540
Hg 13.2634 0.0000 5.7080
```

[5]
Entry from Alexandria: a geometry-optimized Nd2CdHg8 structure (PBE-GGA).

Calculated values
- E_tot: -1.4365 eV per atom
- Energy relative to the elements: -0.27 eV/atom
- Volume: 289 Å³/cell
- Fermi-level density of states: 0.77 states/eV/atom
- SG: P4/mmm, No. 123

extended XYZ file:
```
11
Lattice="4.7552 0.0000 0.0000 0.0000 4.7552 0.0000 0.0000 0.0000 12.7625" Properties=species:S:1:pos:R:3 pbc="T T T"
Nd 0.0000 0.0000 2.3967
Nd 0.0000 0.0000 10.3658
Cd 0.0000 0.0000 6.3813
Hg 0.0000 2.3776 0.0000
Hg 0.0000 2.3776 4.6042
Hg 0.0000 2.3776 8.1583
Hg 2.3776 0.0000 0.0000
Hg 2.3776 0.0000 4.6042
Hg 2.3776 0.0000 8.1583
Hg 2.3776 2.3776 2.2762
Hg 2.3776 2.3776 10.4863
```

[6]
Entry from Alexandria: a geometry-optimized NdCd4Hg3 structure (PBE-GGA).

Calculated values
- E_tot: -1.3507 eV per atom
- Energy relative to the elements: -0.18 eV/atom
- Volume: 194 Å³/cell
- Fermi-level density of states: 0.51 states/eV/atom
- SG: C2/m, No. 12

extended XYZ file:
```
8
Lattice="9.5502 -2.2437 0.0000 9.5502 2.2437 0.0000 -1.1373 0.0000 4.5380" Properties=species:S:1:pos:R:3 pbc="T T T"
Nd 0.0000 0.0000 0.0000
Cd 1.7961 0.0000 2.8597
Cd 4.4153 0.0000 1.1136
Cd 13.5480 0.0000 3.4244
Cd 16.1671 0.0000 1.6783
Hg 6.0843 0.0000 3.9570
Hg 8.9816 0.0000 2.2690
Hg 11.8789 0.0000 0.5810
```

[7]
Entry from Alexandria: a geometry-optimized NdCd5Hg4 structure (PBE-GGA).

Calculated values
- E_tot: -1.1765 eV per atom
- Energy relative to the elements: -0.12 eV/atom
- Volume: 264 Å³/cell
- Fermi-level density of states: 0.37 states/eV/atom
- SG: C2/m, No. 12

extended XYZ file:
```
10
Lattice="7.8815 -3.5939 0.0000 7.8815 3.5939 0.0000 -1.5247 0.0000 4.6663" Properties=species:S:1:pos:R:3 pbc="T T T"
Nd 0.0000 0.0000 0.0000
Cd 3.8115 1.6332 3.8529
Cd 10.4267 1.6332 0.8134
Cd 7.8815 0.0000 0.0000
Cd 3.8115 -1.6332 3.8529
Cd 10.4267 -1.6332 0.8134
Hg 1.4827 0.0000 3.0417
Hg 7.1191 1.5395 2.3332
Hg 7.1191 -1.5395 2.3332
Hg 12.7555 0.0000 1.6246
```

[8]
Entry from Alexandria: a geometry-optimized NdCdHg2 structure (PBE-GGA).

Calculated values
- E_tot: -1.8981 eV per atom
- Energy relative to the elements: -0.33 eV/atom
- Volume: 103 Å³/cell
- Fermi-level density of states: 0.93 states/eV/atom
- SG: P4/mmm, No. 123

extended XYZ file:
```
4
Lattice="4.7896 0.0000 0.0000 0.0000 4.7896 0.0000 0.0000 0.0000 4.5092" Properties=species:S:1:pos:R:3 pbc="T T T"
Nd 0.0000 0.0000 0.0000
Cd 2.3948 2.3948 0.0000
Hg 0.0000 2.3948 2.2546
Hg 2.3948 0.0000 2.2546
```

[9]
Entry from Alexandria: a geometry-optimized Nd4Cd3Hg structure (PBE-GGA).

Calculated values
- E_tot: -3.1200 eV per atom
- Energy relative to the elements: -0.36 eV/atom
- Volume: 229 Å³/cell
- Relative energy among the computed polymorphs: 0 meV/atom
- Fermi-level density of states: 1.18 states/eV/atom
- SG: P4/mmm, No. 123

extended XYZ file:
```
8
Lattice="3.8545 0.0000 0.0000 0.0000 3.8545 0.0000 0.0000 0.0000 15.3922" Properties=species:S:1:pos:R:3 pbc="T T T"
Nd 0.0000 0.0000 1.8987
Nd 0.0000 0.0000 5.7619
Nd 0.0000 0.0000 9.6303
Nd 0.0000 0.0000 13.4935
Cd 1.9272 1.9272 3.8556
Cd 1.9272 1.9272 7.6961
Cd 1.9272 1.9272 11.5366
Hg 1.9272 1.9272 0.0000
```

[10]
Entry from Alexandria: a geometry-optimized NdCd2Hg structure (PBE-GGA).

Calculated values
- E_tot: -2.0234 eV per atom
- Energy relative to the elements: -0.30 eV/atom
- Volume: 103 Å³/cell
- Relative energy among the computed polymorphs: 53 meV/atom
- Fermi-level density of states: 0.86 states/eV/atom
- SG: P4/mmm, No. 123

extended XYZ file:
```
4
Lattice="4.5617 0.0000 0.0000 0.0000 4.5617 0.0000 0.0000 0.0000 4.9598" Properties=species:S:1:pos:R:3 pbc="T T T"
Nd 0.0000 0.0000 0.0000
Cd 0.0000 2.2809 2.4799
Cd 2.2809 0.0000 2.4799
Hg 2.2809 2.2809 0.0000
```

[11]
Entry from Alexandria: a geometry-optimized NdCdHg structure (PBE-GGA).

Calculated values
- E_tot: -2.2669 eV per atom
- Energy relative to the elements: -0.27 eV/atom
- Volume: 88 Å³/cell
- Fermi-level density of states: 1.82 states/eV/atom
- SG: F-43m, No. 216

extended XYZ file:
```
3
Lattice="0.0000 3.5313 3.5313 3.5313 0.0000 3.5313 3.5313 3.5313 0.0000" Properties=species:S:1:pos:R:3 pbc="T T T"
Nd 0.0000 0.0000 0.0000
Cd 3.5313 3.5313 3.5313
Hg 5.2970 5.2970 5.2970
```

[12]
Entry from Alexandria: a geometry-optimized Nd3Cd7Hg2 structure (PBE-GGA).

Calculated values
- E_tot: -2.0291 eV per atom
- Energy relative to the elements: -0.25 eV/atom
- Volume: 303 Å³/cell
- Fermi-level density of states: 0.74 states/eV/atom
- SG: R-3m, No. 166

extended XYZ file:
```
12
Lattice="3.0012 1.7327 9.7088 -3.0012 1.7327 9.7088 0.0000 -3.4654 9.7088" Properties=species:S:1:pos:R:3 pbc="T T T"
Nd 0.0000 0.0000 0.0000
Nd 0.0000 0.0000 4.1003
Nd 0.0000 0.0000 25.0261
Cd -1.5316 -0.8843 12.1792
Cd 0.0000 -1.7686 16.9472
Cd -1.5316 0.8843 16.9472
Cd 0.0000 0.0000 14.5632
Cd 1.5316 -0.8843 12.1792
Cd 0.0000 1.7686 12.1792
Cd 1.5316 0.8843 16.9472
Hg 0.0000 0.0000 9.7624
Hg 0.0000 0.0000 19.3639
```